DFT (PBE) results for a relaxed LuZnGaPt crystal.

Cell: 4.630 4.630 4.630 Å, 60.00 60.00 60.00°
Fractional coordinates of all 4 atoms:
Lu: 0.000 0.000 0.000
Zn: 0.750 0.750 0.750
Ga: 0.500 0.500 0.500
Pt: 0.250 0.250 0.250

Calculated values
The calculated volume is 70.2 Å³/cell. The symmetry is F-43m. The formation enthalpy at 0 K is -261 kJ/mol of formula units. The theoretical density comes out at 11.96 g/cm³.



DFT (PBE) results for a relaxed Ba2MgSe crystal.

Cell: 5.908 5.908 4.153 Å, 90.06 90.06 96.69°
Fractional coordinates of all 4 atoms:
Ba: 0.000 0.500 0.000
Ba: 0.500 0.000 0.000
Mg: 0.000 0.000 0.500
Se: 0.500 0.500 0.500

Calculated values
The calculated volume is 144.0 Å³/cell. The symmetry is C2/m. The theoretical density comes out at 4.36 g/cm³. As for the distance to the lowest polymorph of the same formula: 0.127 eV per atom.



DFT (PBE) results for a relaxed Na2ZrUO6 crystal.

Cell: 5.907 5.907 4.244 Å, 90.00 90.00 90.00°
Fractional coordinates of all 10 atoms:
Na: 0.000 0.500 0.000
Na: 0.500 0.000 0.000
Zr: 0.000 0.000 0.556
U: 0.500 0.500 0.585
O: 0.000 0.000 0.085
O: 0.254 0.254 0.603
O: 0.254 0.746 0.603
O: 0.500 0.500 0.087
O: 0.746 0.254 0.603
O: 0.746 0.746 0.603

Calculated values
The calculated volume is 148.1 Å³/cell. The symmetry is P4mm. The theoretical density comes out at 5.28 g/cm³. The value obtained for the energy is -7.994 eV per atom.



DFT (PBE) results for a relaxed MnCrS4 crystal.

Cell: 6.788 6.788 5.768 Å, 114.99 114.99 28.45°
Fractional coordinates of all 6 atoms:
Mn: 0.000 0.000 0.000
Cr: 0.500 0.500 0.500
S: 0.114 0.114 0.444
S: 0.387 0.387 0.051
S: 0.613 0.613 0.949
S: 0.886 0.886 0.556

Calculated values
The calculated volume is 114.0 Å³/cell. The symmetry is C2/m. The theoretical density comes out at 3.43 g/cm³. The value obtained for the energy is -6.425 eV per atom.



- Among the records above, which one has the highest calculated volume?
  Na2ZrUO6



- Look up the calculated volume of the second one.
  144.0 Å³/cell



- calculated volume of number 3 (Na2ZrUO6)?
  148.1 Å³/cell



- The highest theoretical density belongs to which entry?
  LuZnGaPt